(1)
# ThSnW (PBE-GGA, optimized geometry)
data_ThSnW
_cell_length_a 6.8832
_cell_length_b 6.8832
_cell_length_c 6.8832
_cell_angle_alpha 90.00
_cell_angle_beta 90.00
_cell_angle_gamma 90.00
_space_group_name_H-M_alt 'F -4 3 m'
_space_group_IT_number 216
_space_group_name_Hall 'F -4 2 3'
loop_
_atom_site_label
_atom_site_fract_x
_atom_site_fract_y
_atom_site_fract_z
_atom_site_occupancy
Th1 0.0000 0.0000 0.0000 1
Sn1 0.2500 0.2500 0.2500 1
W1 0.0000 0.0000 0.5000 1
# Uncorrected energy   -7.35 eV per atom

(2)
# ScIrPt (PBE-GGA, optimized geometry)
data_ScIrPt
_cell_length_a 6.0744
_cell_length_b 6.0744
_cell_length_c 6.0744
_cell_angle_alpha 90.00
_cell_angle_beta 90.00
_cell_angle_gamma 90.00
_space_group_name_H-M_alt 'F -4 3 m'
_space_group_IT_number 216
_space_group_name_Hall 'F -4 2 3'
loop_
_atom_site_label
_atom_site_fract_x
_atom_site_fract_y
_atom_site_fract_z
_atom_site_occupancy
Sc1 0.0000 0.0000 0.0000 1
Ir1 0.2500 0.2500 0.7500 1
Pt1 0.2500 0.2500 0.2500 1
# Uncorrected energy   -7.36 eV per atom

(3)
# HoCdPO (PBE-GGA, optimized geometry)
data_HoCdPO
_cell_length_a 4.2883
_cell_length_b 6.6091
_cell_length_c 5.8203
_cell_angle_alpha 90.00
_cell_angle_beta 90.00
_cell_angle_gamma 90.00
_space_group_name_H-M_alt 'P m c 21'
_space_group_IT_number 26
_space_group_name_Hall 'P 2c -2'
loop_
_atom_site_label
_atom_site_fract_x
_atom_site_fract_y
_atom_site_fract_z
_atom_site_occupancy
Ho1 0.0000 0.2132 0.0000 1
Cd1 0.5000 0.3619 0.5814 1
P1 0.0000 0.2009 0.4874 1
O1 0.5000 0.3038 0.9888 1
# Uncorrected energy   -5.44 eV per atom

(4)
# SmDyTa2Si2 (PBE-GGA, optimized geometry)
data_SmDyTa2Si2
_cell_length_a 4.0124
_cell_length_b 4.0124
_cell_length_c 7.8797
_cell_angle_alpha 90.00
_cell_angle_beta 90.00
_cell_angle_gamma 90.00
_space_group_name_H-M_alt 'P 4 m m'
_space_group_IT_number 99
_space_group_name_Hall 'P 4 -2'
loop_
_atom_site_label
_atom_site_fract_x
_atom_site_fract_y
_atom_site_fract_z
_atom_site_occupancy
Sm1 0.0000 0.0000 0.0000 1
Dy1 0.5000 0.5000 0.7058 1
Ta1 0.0000 0.5000 0.3573 1
Si1 0.0000 0.0000 0.5925 1
Si2 0.5000 0.5000 0.1229 1
# Uncorrected energy   -7.89 eV per atom

Question: What is the formula in the first record?
Answer: ThSnW